A plane-wave DFT calculation with GGA+U was carried out for CaCoI2O after structural relaxation.

Cell lengths 6.092, 6.092, 4.147 Å; angles 90.00, 90.00, 90.00 degrees
Space group P4/mmm (No. 123)
Asymmetric unit:
1 Ca 0.000 0.000 0.000 [1 per cell]
2 Co 0.500 0.500 0.500 [1 per cell]
3 I 0.000 0.500 0.000 [2 per cell]
4 O 0.000 0.000 0.500 [1 per cell]

Output
theoretical density	3.98	g/cm3
E above lowest polymorph	552	meV/atom
Fermi-level density of states	1.44	states/eV/atom